Computed, not measured: TbPr2DyS6 after structural relaxation at the GGA-PBE level of DFT.

Cell: 7.4494 7.4494 7.4494 Å, 56.93 56.93 56.93°
Closest atoms and distances in Å follow each position.
Fractional coordinates of all 10 atoms:
Tb1 0.0000 0.0000 0.0000  6 S 2.73-2.79
Pr1 0.2929 0.2929 0.2929  6 S 2.84-2.93
Pr2 0.7930 0.7930 0.7930  6 S 2.83-2.93
Dy1 0.4997 0.4997 0.4997  6 S 2.72-2.78
S1 0.1180 0.3802 0.7087  1 Tb 2.73, 1 Dy 2.78, 2 Pr 2.83-2.93
S2 0.2101 0.8788 0.6171  1 Dy 2.72, 1 Tb 2.79, 2 Pr 2.84-2.93
S3 0.3802 0.7087 0.1180  1 Tb 2.73, 1 Dy 2.78, 2 Pr 2.83-2.93
S4 0.6171 0.2101 0.8788  1 Dy 2.72, 1 Tb 2.79, 2 Pr 2.84-2.93
S5 0.7087 0.1180 0.3802  1 Tb 2.73, 1 Dy 2.78, 2 Pr 2.83-2.93
S6 0.8788 0.6171 0.2101  1 Dy 2.72, 1 Tb 2.79, 2 Pr 2.84-2.93

Values from the calculation:
The calculation puts the total DFT energy (no corrections) at -6.388 eV per atom. The calculation puts the uncorrected formation energy at -20.3 eV/f.u. The calculation puts the density at 4.86 g/cm³. As for the space-group type: R3, No. 146.